No. 1
Here is crystalline CaAlMo2 at its relaxed geometry from the Alexandria database. Energies are from PBE-GGA.

Cell: 3.276 3.276 7.276 Å, 90.00 90.00 90.00°
Positions (direct):
Ca: 0.000 0.000 0.000
Al: 0.500 0.500 0.310
Mo: 0.000 0.000 0.519
Mo: 0.500 0.500 0.694

Output
Space-group type ... P4mm, No. 99
DOS(E_F) ... 0.90 states/eV/atom
Formation energy from the elements ... 0.098 eV per atom

***

No. 2
Here is crystalline PuBOs at its relaxed geometry from the Alexandria database. Energies are from PBE-GGA.

Cell: 4.948 4.948 6.779 Å, 120.30 120.30 41.82°
Positions (direct):
Pu: 0.078 0.078 0.370
Pu: 0.922 0.922 0.630
B: 0.300 0.300 0.232
B: 0.700 0.700 0.768
Os: 0.341 0.341 0.944
Os: 0.659 0.659 0.056

Output
Space-group type ... C2/m, No. 12
Relative energy among the computed polymorphs ... 0.00 eV per formula unit
DOS(E_F) ... 2.40 states/eV/atom
Formation energy from the elements ... -0.166 eV per atom

***

No. 3
Here is crystalline KMgP2 at its relaxed geometry from the Alexandria database. Energies are from PBE-GGA.

Cell: 4.582 4.582 7.525 Å, 115.45 115.45 43.79°
Positions (direct):
K: 0.000 0.000 0.000
Mg: 0.779 0.779 0.479
P: 0.118 0.118 0.612
P: 0.440 0.440 0.350

Output
Space-group type ... Cm, No. 8
DOS(E_F) ... 0.49 states/eV/atom
Formation energy from the elements ... -0.213 eV per atom